VASP calculation (GGA+U) on crystalline Cs2FeF at its relaxed geometry.

a = 5.959 Å, b = 5.959 Å, c = 5.959 Å
α = 60.00°, β = 60.00°, γ = 60.00°
Fractional positions:
Cs  0.250  0.250  0.250
Cs  0.750  0.750  0.750
Fe  0.000  0.000  0.000
F  0.500  0.500  0.500

Output
Uncorrected energy = -2.79 eV/atom
SG = Fm-3m